Entry 1:
A relaxed SnSb2As crystal. Source: Alexandria, functional PBE.

extended XYZ file:
```
8
Lattice="6.0676 0.0000 0.0000 0.0000 6.0676 0.0000 3.0338 3.0338 7.6646" Properties=species:S:1:pos:R:3 pbc="T T T"
Sn 6.0676 3.0338 3.8323
Sn 0.0000 0.0000 0.0000
As 3.0338 6.0676 3.8323
As 3.0338 3.0338 0.0000
Sb 1.6905 4.5507 1.9161
Sb 7.5845 7.4108 5.7484
Sb 4.5507 4.7243 5.7484
Sb 4.3770 1.5169 1.9161
```

Computed properties:
* uncorrected formation energy: 0.22 eV per atom
* symmetry: I-42d
* calculated volume: 282 Å³/cell



Entry 2:
A relaxed SnSbAs2 crystal. Source: Alexandria, functional PBE.

extended XYZ file:
```
16
Lattice="7.9022 0.0000 0.0000 0.0000 6.9459 0.0000 0.0000 0.0000 8.0818" Properties=species:S:1:pos:R:3 pbc="T T T"
Sn 7.6837 2.1383 7.1100
Sn 3.7326 4.8076 0.9718
Sn 3.7326 1.3346 3.0691
Sn 7.6837 5.6113 5.0127
As 1.2429 0.9059 1.0932
As 5.1551 5.9395 3.1333
As 1.2429 4.3788 2.9477
As 1.2040 4.4794 7.1742
As 5.1551 2.4665 0.9076
As 5.1940 2.5671 5.1341
As 5.1940 6.0401 6.9886
As 1.2040 1.0064 4.9485
Sb 7.6477 5.5979 1.0604
Sb 3.6966 4.8209 5.1013
Sb 3.6966 1.3480 7.0214
Sb 7.6477 2.1250 2.9805
```

Computed properties:
* uncorrected formation energy: 0.02 eV per atom
* symmetry: Pna2_1
* calculated volume: 444 Å³/cell



Entry 3:
A relaxed Sn2SbAs2 crystal. Source: Alexandria, functional PBE.

extended XYZ file:
```
5
Lattice="3.9144 0.0000 0.0000 0.0000 3.9144 0.0000 1.9572 1.9572 8.3844" Properties=species:S:1:pos:R:3 pbc="T T T"
As 3.9144 1.9572 4.1922
As 1.9572 3.9144 4.1922
Sn 1.9572 1.9572 1.7404
Sn 3.9144 3.9144 6.6440
Sb 0.0000 0.0000 0.0000
```

Computed properties:
* uncorrected formation energy: 0.14 eV per atom
* symmetry: I4/mmm
* calculated volume: 128 Å³/cell



Entry 4:
A relaxed SnSbAs2 crystal. Source: Alexandria, functional PBE.

extended XYZ file:
```
4
Lattice="4.0772 -0.1979 -1.1634 1.8743 3.4466 -1.2206 0.2118 -0.0387 7.0545" Properties=species:S:1:pos:R:3 pbc="T T T"
As 4.2302 3.2741 -1.8297
As 1.4246 1.5928 2.8679
Sb 3.7494 0.7294 3.9816
Sn 2.5151 2.5727 0.3944
```

Computed properties:
* uncorrected formation energy: -0.02 eV per atom
* symmetry: P1
* calculated volume: 103 Å³/cell